[1]
## Mg5ZnPt6 (PBE)

Data for a relaxed Mg5ZnPt6 crystal.

Summary:
VASP energy = -110.28 eV per cell
formation enthalpy at 0 K = -804 meV/atom
magnetic moment = 0.000 μB/f.u.

Cell: 7.513 13.733 4.564 Å, 90.00 127.10 90.00°
Space group C2/m (No. 12)
Symmetry-distinct sites (fractional):
Mg  0.000  0.000  0.000 (multiplicity 2)
Mg  0.000  0.167  0.500 (multiplicity 4)
Mg  0.000  0.331  0.000 (multiplicity 4)
Zn  0.000  0.500  0.500 (multiplicity 2)
Pt  0.245  0.500  0.246 (multiplicity 4)
Pt  0.247  0.336  0.747 (multiplicity 8)


[2]
## MgZn5Pt2 (PBE)

Data for a relaxed MgZn5Pt2 crystal.

Summary:
VASP energy = -45.99 eV per cell
formation enthalpy at 0 K = -369 meV/atom
magnetic moment = 0.000 μB/f.u.

Cell: 4.261 7.772 8.096 Å, 90.00 90.00 90.00°
Space group Immm (No. 71)
Symmetry-distinct sites (fractional):
Mg  0.000  0.000  0.000 (multiplicity 2)
Zn  0.000  0.170  0.329 (multiplicity 8)
Zn  0.000  0.500  0.000 (multiplicity 2)
Pt  0.000  0.500  0.309 (multiplicity 4)


[3]
## MgZn3Pt4 (PBE)

Data for a relaxed MgZn3Pt4 crystal.

Summary:
VASP energy = -69.73 eV per cell
formation enthalpy at 0 K = -660 meV/atom
magnetic moment = 0.000 μB/f.u.

Cell: 14.905 4.076 4.076 Å, 90.00 105.70 90.00°
Space group C2/m (No. 12)
Symmetry-distinct sites (fractional):
Mg  0.000  0.000  0.000 (multiplicity 2)
Zn  0.000  0.500  0.500 (multiplicity 2)
Zn  0.250  0.000  0.250 (multiplicity 4)
Pt  0.128  0.000  0.627 (multiplicity 4)
Pt  0.128  0.500  0.128 (multiplicity 4)


[4]
## MgZn2Pt (PBE)

Data for a relaxed MgZn2Pt crystal.

Summary:
VASP energy = -32.88 eV per cell
formation enthalpy at 0 K = -194 meV/atom
magnetic moment = 0.000 μB/f.u.

Cell: 2.9386 2.9386 26.5414 Å, 90.00 90.00 120.00°
Space group R-3m (No. 166, hexagonal axes)
Symmetry-distinct sites (fractional):
Mg  0.0000  0.0000  0.0000 (multiplicity 3)
Zn  0.0000  0.0000  0.2443 (multiplicity 6)
Pt  0.0000  0.0000  0.5000 (multiplicity 3)


[5]
## MgZn2Pt (PBE)

Data for a relaxed MgZn2Pt crystal.

Summary:
VASP energy = -48.69 eV per cell
formation enthalpy at 0 K = -497 meV/atom
magnetic moment = 0.000 μB/f.u.

Cell: 7.250 7.617 5.052 Å, 90.00 90.00 90.00°
Space group Pnma (No. 62)
Symmetry-distinct sites (fractional):
Mg  0.025  0.250  0.104 (multiplicity 4)
Zn  0.170  0.055  0.599 (multiplicity 8)
Pt  0.129  0.750  0.395 (multiplicity 4)


[6]
## MgZn2Pt4 (PBE)

Data for a relaxed MgZn2Pt4 crystal.

Summary:
VASP energy = -62.80 eV per cell
formation enthalpy at 0 K = -442 meV/atom
magnetic moment = 0.000 μB/f.u.

Cell: 5.658 5.658 7.099 Å, 90.00 90.00 90.00°
Space group I4/mmm (No. 139)
Symmetry-distinct sites (fractional):
Mg  0.000  0.000  0.000 (multiplicity 2)
Zn  0.000  0.500  0.000 (multiplicity 4)
Pt  0.250  0.250  0.250 (multiplicity 8)


[7]
## Mg3Zn8Pt (PBE)

Data for a relaxed Mg3Zn8Pt crystal.

Summary:
VASP energy = -69.82 eV per cell
formation enthalpy at 0 K = -188 meV/atom
magnetic moment = 0.000 μB/f.u.

Cell: 5.1205 5.1205 25.0171 Å, 90.00 90.00 120.00°
Space group R3m (No. 160, hexagonal axes)
Symmetry-distinct sites (fractional):
Mg  0.0000  0.0000  0.0000 (multiplicity 3)
Mg  0.0000  0.0000  0.1286 (multiplicity 3)
Mg  0.0000  0.0000  0.5102 (multiplicity 3)
Zn  0.0000  0.0000  0.3159 (multiplicity 3)
Zn  0.0000  0.0000  0.8161 (multiplicity 3)
Zn  0.9996  0.4998  0.5672 (multiplicity 9)
Zn  0.1676  0.3351  0.3983 (multiplicity 9)
Pt  0.0000  0.0000  0.6300 (multiplicity 3)


[8]
## MgZn5Pt6 (PBE)

Data for a relaxed MgZn5Pt6 crystal.

Summary:
VASP energy = -103.42 eV per cell
formation enthalpy at 0 K = -625 meV/atom
magnetic moment = 0.000 μB/f.u.

Cell: 4.112 7.061 12.229 Å, 90.00 90.00 90.00°
Space group Immm (No. 71)
Symmetry-distinct sites (fractional):
Mg  0.000  0.000  0.000 (multiplicity 2)
Zn  0.000  0.000  0.331 (multiplicity 4)
Zn  0.000  0.500  0.000 (multiplicity 2)
Zn  0.000  0.500  0.336 (multiplicity 4)
Pt  0.000  0.243  0.500 (multiplicity 4)
Pt  0.000  0.254  0.168 (multiplicity 8)


[9]
## Mg2ZnPt3 (PBE)

Data for a relaxed Mg2ZnPt3 crystal.

Summary:
excess energy over the best structure of this formula in the dataset = 37.0 meV per atom
VASP energy = -27.07 eV per cell
formation enthalpy at 0 K = -747 meV/atom
magnetic moment = 0.000 μB/f.u.

Cell: 4.4339 4.4339 5.4125 Å, 90.00 90.00 120.00°
Space group P-3m1 (No. 164)
Symmetry-distinct sites (fractional):
Mg  0.3333  0.6667  0.1670 (multiplicity 2)
Zn  0.0000  0.0000  0.5000 (multiplicity 1)
Pt  0.0000  0.0000  0.0000 (multiplicity 1)
Pt  0.3333  0.6667  0.6630 (multiplicity 2)


[10]
## Mg3Zn2Pt3 (PBE)

Data for a relaxed Mg3Zn2Pt3 crystal.

Summary:
excess energy over the best structure of this formula in the dataset = 0.0 meV per atom
VASP energy = -62.03 eV per cell
formation enthalpy at 0 K = -695 meV/atom
magnetic moment = 0.000 μB/f.u.

Cell: 3.680 4.113 16.525 Å, 90.00 90.00 90.00°
Space group Immm (No. 71)
Symmetry-distinct sites (fractional):
Mg  0.000  0.000  0.000 (multiplicity 2)
Mg  0.000  0.500  0.124 (multiplicity 4)
Zn  0.000  0.000  0.251 (multiplicity 4)
Pt  0.000  0.000  0.500 (multiplicity 2)
Pt  0.000  0.500  0.366 (multiplicity 4)


[11]
## Mg3Zn4Pt2 (PBE)

Data for a relaxed Mg3Zn4Pt2 crystal.

Summary:
VASP energy = -51.55 eV per cell
formation enthalpy at 0 K = -424 meV/atom
magnetic moment = 0.000 μB/f.u.

Cell: 7.724 4.454 8.204 Å, 90.00 90.10 90.00°
Space group C2/m (No. 12)
Symmetry-distinct sites (fractional):
Mg  0.000  0.000  0.000 (multiplicity 2)
Mg  0.167  0.500  0.576 (multiplicity 4)
Zn  0.000  0.000  0.328 (multiplicity 4)
Zn  0.167  0.500  0.900 (multiplicity 4)
Pt  0.166  0.500  0.231 (multiplicity 4)


[12]
## MgZnPt4 (PBE)

Data for a relaxed MgZnPt4 crystal.

Summary:
excess energy over the best structure of this formula in the dataset = 138.3 meV per atom
VASP energy = -115.38 eV per cell
formation enthalpy at 0 K = -302 meV/atom
magnetic moment = 0.000 μB/f.u.

Cell: 7.477 7.477 7.477 Å, 90.00 90.00 90.00°
Space group F-43m (No. 216)
Symmetry-distinct sites (fractional):
Mg  0.000  0.000  0.000 (multiplicity 4)
Zn  0.250  0.250  0.250 (multiplicity 4)
Pt  0.125  0.125  0.625 (multiplicity 16)